(1)
First-principles (GGA-PBE) data for an optimized crystal structure of Tl2GeF4, as listed in Alexandria.

DFT total energy = -0.1569 hartree per atom
Offset from the most stable computed form = 75 meV/atom
Uncorrected formation energy = -1.864 eV per atom
V = 20.1 Å³ per atom

Structure (extended XYZ):
```
7
Lattice="4.480 0.000 0.000 0.000 4.480 0.000 2.240 2.240 6.995" Properties=species:S:1:pos:R:3 pbc="T T T"
Tl 4.480 4.480 4.897
F 4.480 4.480 2.236
Ge 0.000 0.000 0.000
F 2.240 0.000 0.000
Tl 2.240 2.240 2.098
F 0.000 2.240 0.000
F 2.240 2.240 4.759
```

(2)
First-principles (GGA-PBE) data for an optimized crystal structure of TlGeF3, as listed in Alexandria.

DFT total energy = -0.1671 hartree per atom
Offset from the most stable computed form = 9 meV/atom
Uncorrected formation energy = -2.027 eV per atom
V = 21.2 Å³ per atom

Structure (extended XYZ):
```
10
Lattice="4.898 -0.010 -0.073 1.512 6.883 0.116 -0.477 -0.319 6.284" Properties=species:S:1:pos:R:3 pbc="T T T"
F 1.491 1.984 1.569
Tl 4.742 4.745 6.088
F 3.548 1.114 0.075
F 2.668 3.749 4.340
F 2.855 6.516 0.313
F 3.836 4.119 1.975
Tl 3.953 1.508 2.882
F 3.778 6.155 3.774
Ge 2.506 5.027 2.954
Ge 1.230 1.112 6.058
```

(3)
First-principles (GGA-PBE) data for an optimized crystal structure of Tl3Ge2F8, as listed in Alexandria.

DFT total energy = -0.1578 hartree per atom
Uncorrected formation energy = -1.887 eV per atom
V = 19.8 Å³ per atom

Structure (extended XYZ):
```
13
Lattice="6.037 0.000 0.000 3.018 5.228 0.000 3.018 1.743 8.172" Properties=species:S:1:pos:R:3 pbc="T T T"
Tl 3.018 1.743 3.263
F 6.037 1.866 2.463
F 7.439 4.295 2.463
Ge 6.037 3.485 1.495
Ge 6.037 3.485 6.677
F 3.018 1.743 0.794
F 7.439 2.676 5.709
F 6.037 5.105 5.709
F 4.635 2.676 5.709
F 4.635 4.295 2.463
Tl 0.000 0.000 0.000
Tl 9.055 5.228 4.909
F 9.055 5.228 7.378
```

(4)
First-principles (GGA-PBE) data for an optimized crystal structure of TlGeF3, as listed in Alexandria.

DFT total energy = -0.1667 hartree per atom
Offset from the most stable computed form = 20 meV/atom
Uncorrected formation energy = -2.016 eV per atom
V = 20.8 Å³ per atom

Structure (extended XYZ):
```
20
Lattice="-6.789 8.394 -0.772 -5.247 0.848 5.643 4.047 -0.695 6.575" Properties=species:S:1:pos:R:3 pbc="T T T"
F -5.950 7.317 5.987
Tl -7.804 6.731 3.146
F -1.489 1.492 2.773
F -7.107 3.880 4.928
Ge 1.637 1.038 4.646
F -3.077 2.854 8.768
Tl -3.291 5.976 4.980
F -5.041 5.193 7.379
Tl -4.698 2.571 6.465
F -4.912 5.693 2.677
F -0.882 4.667 6.518
F -6.500 7.055 8.673
Ge -6.730 6.048 7.102
Ge -9.626 7.509 6.799
F -1.902 1.028 10.367
F -2.947 3.354 4.066
F -2.039 1.230 5.459
Ge -1.259 2.499 4.343
F -6.086 7.519 1.079
Tl -0.185 1.816 8.300
```

(5)
First-principles (GGA-PBE) data for an optimized crystal structure of Tl12Ge3F5, as listed in Alexandria.

DFT total energy = -0.1183 hartree per atom
Uncorrected formation energy = -0.640 eV per atom
V = 29.2 Å³ per atom

Structure (extended XYZ):
```
80
Lattice="14.473 0.000 0.000 -4.824 13.646 0.000 -4.824 -6.823 11.818" Properties=species:S:1:pos:R:3 pbc="T T T"
F 6.031 5.970 4.432
Ge 1.206 -0.853 4.432
Tl 2.993 8.607 1.059
Ge 1.206 6.823 2.954
Tl 5.405 1.785 10.759
F 4.824 6.823 0.000
Tl 5.919 -1.081 6.925
Tl 8.554 -4.778 10.308
F 6.031 -4.264 10.340
Tl -5.919 3.697 8.435
Tl -1.832 0.025 9.743
Ge 6.031 0.853 4.432
Tl -3.046 7.760 9.291
Ge 3.618 0.000 8.863
Tl 9.530 1.483 0.451
Tl 1.317 1.081 6.925
Tl 2.993 5.014 1.016
F 2.412 3.411 5.909
Tl -1.317 -3.697 8.435
F -1.206 11.087 1.477
Tl 1.778 5.130 7.984
Tl 4.191 -1.692 3.834
Tl 7.356 3.762 4.399
Ge -3.618 -2.559 10.340
Tl -4.705 5.340 11.366
Tl 5.405 -1.809 10.801
Tl -0.634 0.937 2.526
Tl -1.778 -0.755 5.458
Tl 0.119 4.544 4.850
F -2.412 6.823 0.000
Tl 10.744 3.126 3.383
Tl -1.317 4.778 10.308
Ge -1.206 5.970 7.386
F 1.206 4.264 10.340
Tl 6.142 2.045 1.510
Tl -2.531 3.061 7.419
F 8.443 -0.853 7.386
Tl -4.944 9.884 4.399
F 1.206 -3.411 8.863
F -2.412 -3.411 5.909
Tl -0.580 5.038 1.059
Tl 6.603 7.578 6.360
Ge -3.618 2.559 10.340
Tl -1.095 7.904 4.893
F 7.237 0.000 0.000
Tl 3.046 1.692 3.834
F 4.824 -3.411 5.909
F 3.618 10.234 2.954
Tl 1.832 -1.785 10.759
Tl 0.634 8.515 7.984
F 0.000 0.000 0.000
Tl -0.580 8.632 1.016
Tl 1.832 1.809 10.801
Ge 8.443 4.264 1.477
Tl -4.191 6.068 6.360
Tl 6.142 10.519 3.383
Ge -6.031 6.823 8.863
Tl 6.656 6.798 2.075
Tl 2.293 9.102 4.850
Tl 10.229 6.847 2.075
F 3.618 2.559 1.477
Ge 3.618 7.676 7.386
F 6.031 3.411 8.863
Tl -5.405 -0.025 9.743
Ge 8.443 9.381 1.477
Tl 7.356 12.163 0.451
Tl 2.531 -2.279 6.967
Tl 7.871 -0.937 2.526
Tl 5.458 5.886 9.291
Tl 3.507 5.742 4.893
Tl -2.531 -5.340 11.366
Ge 10.855 0.000 2.954
Tl -3.729 11.601 1.510
F -1.206 0.853 7.386
Tl 4.705 2.279 6.967
F -1.206 3.411 2.954
Tl 9.015 0.755 5.458
Tl 9.768 -3.061 7.419
F -3.618 7.676 4.432
F -4.824 3.411 5.909
```

(6)
First-principles (GGA-PBE) data for an optimized crystal structure of TlGeF2, as listed in Alexandria.

DFT total energy = -0.1371 hartree per atom
Offset from the most stable computed form = 355 meV/atom
Uncorrected formation energy = -1.049 eV per atom
V = 17.2 Å³ per atom

Structure (extended XYZ):
```
4
Lattice="0.000 3.250 3.250 3.250 0.000 3.250 3.250 3.250 0.000" Properties=species:S:1:pos:R:3 pbc="T T T"
Tl 3.250 3.250 3.250
F 4.874 4.874 4.874
Ge 0.000 0.000 0.000
F 1.625 1.625 1.625
```

(7)
First-principles (GGA-PBE) data for an optimized crystal structure of TlGeF3, as listed in Alexandria.

DFT total energy = -0.1669 hartree per atom
Offset from the most stable computed form = 15 meV/atom
Uncorrected formation energy = -2.021 eV per atom
V = 20.3 Å³ per atom

Structure (extended XYZ):
```
20
Lattice="-1.143 -10.116 18.695 -2.998 -4.538 -2.639 3.071 1.553 -6.159" Properties=species:S:1:pos:R:3 pbc="T T T"
Ge 1.793 -1.836 -2.120
Ge -0.660 -5.285 -0.326
F -1.089 -8.375 5.516
F 1.188 -2.729 -3.674
F 0.548 -2.777 -1.045
F -1.618 -10.325 10.942
Tl -2.814 -13.087 15.341
Ge -0.411 -7.816 10.223
Tl 1.744 -0.015 -5.444
Ge -2.863 -11.265 12.016
F -2.259 -10.373 13.571
F -0.262 -5.628 -2.147
F -2.378 -10.772 7.469
Tl -0.718 -7.269 2.904
Tl -0.352 -5.832 6.993
F 0.019 -4.727 4.381
F 1.097 -8.835 10.749
F -0.808 -7.474 12.044
F -2.167 -4.266 -0.852
F 1.308 -2.329 2.428
```

(8)
First-principles (GGA-PBE) data for an optimized crystal structure of TlGeF3, as listed in Alexandria.

DFT total energy = -0.1657 hartree per atom
Offset from the most stable computed form = 48 meV/atom
Uncorrected formation energy = -1.988 eV per atom
V = 20.8 Å³ per atom

Structure (extended XYZ):
```
20
Lattice="-12.943 0.484 3.863 -4.923 -5.466 0.149 5.606 -3.475 3.260" Properties=species:S:1:pos:R:3 pbc="T T T"
Tl -8.614 -4.670 2.250
F -11.371 -6.038 6.728
F -7.561 -5.255 4.942
Ge -0.106 -5.892 4.226
Tl -3.646 -3.787 5.023
F -0.936 -7.509 3.778
Ge -12.154 -2.565 3.046
Tl -2.475 -4.543 1.352
F -10.575 -5.842 4.041
F -4.699 -3.202 2.331
F -13.231 -5.850 4.553
F -11.324 -0.948 3.495
Ge -6.888 -1.586 4.608
F -1.685 -2.615 3.231
F -7.359 -2.202 2.486
Tl -9.785 -3.914 5.920
Ge -5.372 -6.871 2.665
F -0.889 -2.420 0.545
F -4.901 -6.255 4.787
F 0.971 -2.607 2.719
```

(9)
First-principles (GGA-PBE) data for an optimized crystal structure of Tl2GeF, as listed in Alexandria.

DFT total energy = -0.1191 hartree per atom
Offset from the most stable computed form = 43 meV/atom
Uncorrected formation energy = -0.436 eV per atom
V = 29.2 Å³ per atom

Structure (extended XYZ):
```
8
Lattice="5.718 0.000 0.000 0.000 5.718 0.000 2.859 2.859 7.133" Properties=species:S:1:pos:R:3 pbc="T T T"
Ge 0.000 0.000 0.000
F 2.859 5.718 3.566
Ge 5.718 2.859 3.566
Tl 1.640 4.289 1.783
Tl 4.289 4.499 5.350
Tl 7.148 6.938 5.350
Tl 4.079 1.430 1.783
F 2.859 2.859 0.000
```

(10)
First-principles (GGA-PBE) data for an optimized crystal structure of Tl2GeF6, as listed in Alexandria.

DFT total energy = -0.1673 hartree per atom
Uncorrected formation energy = -2.267 eV per atom
V = 17.1 Å³ per atom

Structure (extended XYZ):
```
9
Lattice="5.012 0.000 0.000 0.000 5.961 0.000 0.000 -2.980 5.162" Properties=species:S:1:pos:R:3 pbc="T T T"
F 1.037 0.000 1.520
Ge 0.000 0.000 0.000
F 3.975 1.317 0.760
F 3.975 4.644 0.760
F 3.975 2.980 3.642
Tl 3.541 0.000 3.441
Tl 1.471 2.980 1.721
F 1.037 1.664 4.402
F 1.037 -1.664 4.402
```

(11)
First-principles (GGA-PBE) data for an optimized crystal structure of TlGeF3, as listed in Alexandria.

DFT total energy = -0.1664 hartree per atom
Offset from the most stable computed form = 27 meV/atom
Uncorrected formation energy = -2.009 eV per atom
V = 21.0 Å³ per atom

Structure (extended XYZ):
```
5
Lattice="4.802 0.090 -0.011 0.776 4.817 -0.108 -0.947 -1.017 4.577" Properties=species:S:1:pos:R:3 pbc="T T T"
F 4.151 1.545 0.154
F 1.979 1.253 1.693
F 1.978 3.238 -0.075
Ge 1.351 0.355 4.414
Tl 4.963 3.540 2.031
```

(12)
First-principles (GGA-PBE) data for an optimized crystal structure of TlGeF3, as listed in Alexandria.

DFT total energy = -0.1669 hartree per atom
Offset from the most stable computed form = 13 meV/atom
Uncorrected formation energy = -2.023 eV per atom
V = 20.0 Å³ per atom

Structure (extended XYZ):
```
10
Lattice="-0.183 4.386 -4.239 -5.973 3.675 1.755 3.785 2.112 2.274" Properties=species:S:1:pos:R:3 pbc="T T T"
F 1.355 4.012 0.248
Tl 0.222 3.575 -2.428
F -0.352 0.978 -0.549
Tl -0.403 5.927 1.294
F -2.847 7.776 -0.662
F -3.308 5.402 1.286
F -3.612 6.412 -2.857
Ge -1.994 7.142 -2.207
F -1.533 5.493 -1.378
Ge 1.814 2.361 1.076
```

(13)
First-principles (GGA-PBE) data for an optimized crystal structure of TlGeF3, as listed in Alexandria.

DFT total energy = -0.1607 hartree per atom
Offset from the most stable computed form = 182 meV/atom
Uncorrected formation energy = -1.855 eV per atom
V = 19.8 Å³ per atom

Structure (extended XYZ):
```
20
Lattice="-7.799 -0.606 2.592 -5.596 5.534 -2.443 -5.936 -2.197 -5.276" Properties=species:S:1:pos:R:3 pbc="T T T"
F -10.765 2.527 -5.602
F -4.066 -0.127 0.836
Tl -9.284 -1.060 -1.983
F -5.600 1.493 -3.400
F -12.063 -1.090 -2.635
Ge -5.214 3.108 -1.863
F -6.505 -1.030 -1.332
F -3.161 2.395 -1.232
Tl -9.114 2.805 -0.567
F -6.365 2.146 -0.168
F -11.863 3.465 -0.966
F -3.301 -0.781 -2.396
Ge -5.385 -0.757 -3.279
Tl -8.182 2.010 -4.501
Ge -6.316 0.038 0.655
F -7.468 -0.733 -4.162
F -7.267 3.822 -2.493
F -8.566 0.204 0.474
Ge -2.416 0.341 -0.641
Tl -12.082 1.707 -3.205
```

(14)
First-principles (GGA-PBE) data for an optimized crystal structure of TlGeF3, as listed in Alexandria.

DFT total energy = -0.1324 hartree per atom
Offset from the most stable computed form = 952 meV/atom
Uncorrected formation energy = -1.084 eV per atom
V = 19.6 Å³ per atom

Structure (extended XYZ):
```
5
Lattice="-1.580 0.716 -4.272 1.088 -4.335 -1.129 -4.192 -1.395 1.317" Properties=species:S:1:pos:R:3 pbc="T T T"
F 0.544 -2.168 -0.565
Ge -2.342 -2.507 -2.042
F -0.790 0.358 -2.136
Tl 0.000 0.000 0.000
F -2.096 -0.697 0.658
```

(15)
First-principles (GGA-PBE) data for an optimized crystal structure of Tl2GeF4, as listed in Alexandria.

DFT total energy = -0.1593 hartree per atom
Offset from the most stable computed form = 8 meV/atom
Uncorrected formation energy = -1.930 eV per atom
V = 24.0 Å³ per atom

Structure (extended XYZ):
```
14
Lattice="5.692 0.000 0.000 0.000 7.279 1.929 0.000 -0.293 8.032" Properties=species:S:1:pos:R:3 pbc="T T T"
F 0.106 5.797 7.762
F 2.952 1.190 2.198
Tl 1.423 5.082 5.031
Ge 1.423 6.546 8.808
Tl 4.269 1.904 4.929
F 4.269 1.625 7.981
Tl 4.269 4.478 1.839
Tl 1.423 2.509 8.122
F 4.269 4.296 4.296
F 5.586 1.190 2.198
F 1.423 2.691 5.665
Ge 4.269 0.440 1.152
F 2.740 5.797 7.762
F 1.423 5.361 1.979
```

(16)
First-principles (GGA-PBE) data for an optimized crystal structure of TlGeF3, as listed in Alexandria.

DFT total energy = -0.1669 hartree per atom
Offset from the most stable computed form = 14 meV/atom
Uncorrected formation energy = -2.022 eV per atom
V = 21.1 Å³ per atom

Structure (extended XYZ):
```
10
Lattice="6.022 0.007 -0.098 0.965 7.620 0.013 0.027 1.608 4.610" Properties=species:S:1:pos:R:3 pbc="T T T"
Ge 1.122 1.761 2.945
Tl 4.226 1.109 0.473
Tl 2.577 5.184 1.449
F 4.291 5.164 3.960
F 0.950 5.162 3.838
F 1.483 0.455 0.153
Ge 5.618 6.419 3.453
F 2.824 2.438 2.436
F 5.722 5.514 0.594
F 2.738 7.645 3.103
```

(17)
First-principles (GGA-PBE) data for an optimized crystal structure of TlGeF3, as listed in Alexandria.

DFT total energy = -0.1648 hartree per atom
Offset from the most stable computed form = 72 meV/atom
Uncorrected formation energy = -1.964 eV per atom
V = 19.5 Å³ per atom

Structure (extended XYZ):
```
5
Lattice="-1.678 -3.942 0.879 0.348 -1.090 -4.221 4.697 -1.808 0.854" Properties=species:S:1:pos:R:3 pbc="T T T"
F 1.722 -1.141 -1.829
F 3.005 -1.157 0.547
Tl 2.608 -3.776 -1.076
Ge 1.260 -0.485 0.229
F 0.709 -2.567 0.721
```

(18)
First-principles (GGA-PBE) data for an optimized crystal structure of TlGeF3, as listed in Alexandria.

DFT total energy = -0.1620 hartree per atom
Offset from the most stable computed form = 148 meV/atom
Uncorrected formation energy = -1.888 eV per atom
V = 25.9 Å³ per atom

Structure (extended XYZ):
```
5
Lattice="3.526 0.000 0.000 0.000 3.601 -5.096 0.000 3.601 5.096" Properties=species:S:1:pos:R:3 pbc="T T T"
F 1.763 4.993 0.732
Tl 1.763 3.601 4.449
F 1.763 2.208 0.732
F 0.000 3.601 2.424
Ge 0.000 3.601 0.549
```

(19)
First-principles (GGA-PBE) data for an optimized crystal structure of TlGeF3, as listed in Alexandria.

DFT total energy = -0.1655 hartree per atom
Offset from the most stable computed form = 52 meV/atom
Uncorrected formation energy = -1.984 eV per atom
V = 19.7 Å³ per atom

Structure (extended XYZ):
```
5
Lattice="4.344 0.000 0.000 0.000 3.729 -3.043 0.000 3.729 3.043" Properties=species:S:1:pos:R:3 pbc="T T T"
F 2.172 6.134 0.620
Ge 2.172 3.729 2.296
F 2.172 1.323 0.620
F 0.000 3.729 2.575
Tl 0.000 3.729 -0.803
```